Density functional theory data (PBE) for a relaxed Cr2AsIr crystal.

Geometry as POSCAR:
```
Cr2AsIr
1.0
-1.7062 2.4527 0.0589
-1.2894 -0.8354 -2.5632
-4.2309 -3.0179 3.1119
Ir Cr As
1 2 1
Direct
0.0000 0.0000 0.4899
0.0000 0.0000 0.9966
0.5000 0.5000 0.2327
0.5000 0.5000 0.7808
```

Summary:
* total DFT energy (no corrections): -32.4 eV/cell
* SG: P4mm